Below is a relaxed structure of Tb2PrTm2, with properties calculated at the PBE-GGA level.

## Properties
Its energy relative to the lowest polymorph listed for this composition is 0 meV per atom. For the energy of formation from the pure elements, the calculation gives 8.1 kJ/mol of atoms.

a = 9.4853 Å, b = 9.4853 Å, c = 3.6411 Å
α = 90.00°, β = 90.00°, γ = 90.00°
Site moments in Bohr magnetons follow the coordinates.
Sites, in units of the cell vectors:
Pr  0.0000  0.0000  0.0000  0.07
Pr  0.5000  0.5000  0.0000  0.07
Tb  0.1740  0.3260  0.5000  0.00
Tb  0.3260  0.8260  0.5000  0.00
Tb  0.8260  0.6740  0.5000  0.00
Tb  0.6740  0.1740  0.5000  0.00
Tm  0.8777  0.3777  0.0000  0.00
Tm  0.1223  0.6223  0.0000  0.00
Tm  0.6223  0.8777  0.0000  0.00
Tm  0.3777  0.1223  0.0000  0.00

***

Below is a relaxed structure of Cs4PuGe3Br12, with properties calculated at the PBE-GGA level.

## Properties
The formation energy from raw total energies comes out at -1.22 eV per atom.

a = 9.8844 Å, b = 9.8844 Å, c = 9.8844 Å
α = 109.47°, β = 109.47°, γ = 109.47°
Site moments in Bohr magnetons follow the coordinates.
Sites, in units of the cell vectors:
Br  0.2500  0.5000  0.7500  0.00
Br  0.5000  0.2500  0.7500  0.00
Br  0.5000  0.7500  0.2500  0.00
Br  0.2541  0.0000  0.2541  -0.01
Br  0.2541  0.2541  0.0000  -0.01
Br  0.2500  0.7500  0.5000  0.00
Br  0.0000  0.2541  0.2541  -0.01
Br  0.7500  0.2500  0.5000  0.00
Br  0.0000  0.7459  0.7459  -0.01
Br  0.7459  0.0000  0.7459  -0.01
Br  0.7459  0.7459  0.0000  -0.01
Br  0.7500  0.5000  0.2500  0.00
Pu  0.0000  0.0000  0.0000  5.50
Ge  0.5000  0.5000  0.0000  0.04
Ge  0.5000  0.0000  0.5000  0.04
Ge  0.0000  0.5000  0.5000  0.04
Cs  0.5000  0.5000  0.5000  0.00
Cs  0.5000  0.0000  0.0000  0.00
Cs  0.0000  0.0000  0.5000  0.00
Cs  0.0000  0.5000  0.0000  0.00

***

Below is a relaxed structure of Ba6Hg2AuO, with properties calculated at the PBE-GGA level.

## Properties
The formation energy from raw total energies comes out at -0.81 eV per atom.

a = 7.9901 Å, b = 8.6402 Å, c = 11.4886 Å
α = 90.00°, β = 88.09°, γ = 90.00°
Sites, in units of the cell vectors:
Ba  0.2008  0.1737  0.4430
Ba  0.6609  0.2952  0.5537
Ba  0.1136  0.4761  0.7717
Ba  0.2992  0.6737  0.0570
Ba  0.7992  0.8263  0.5570
Ba  0.1609  0.2048  0.0537
Ba  0.7008  0.3263  0.9430
Ba  0.8864  0.5239  0.2283
Ba  0.3391  0.7048  0.4463
Ba  0.6136  0.0239  0.2717
Ba  0.8391  0.7952  0.9463
Ba  0.3864  0.9761  0.7283
O  0.5000  0.0000  0.5000
O  0.0000  0.5000  0.0000
Hg  0.0405  0.9018  0.2501
Hg  0.9595  0.0982  0.7499
Hg  0.4595  0.4018  0.2499
Hg  0.5405  0.5982  0.7501
Au  0.5000  0.0000  0.0000
Au  0.0000  0.5000  0.5000

***

Below is a relaxed structure of TaHg2C, with properties calculated at the PBE-GGA level.

## Properties
For the energy of formation from the pure elements, the calculation gives 107.7 kJ/mol of atoms.

a = 8.5054 Å, b = 8.5054 Å, c = 6.3842 Å
α = 48.23°, β = 48.23°, γ = 90.00°
Sites, in units of the cell vectors:
Hg  0.3750  0.4834  0.7500
Hg  0.5166  0.1250  0.2500
Hg  0.8750  0.7666  0.7500
Hg  0.2334  0.6250  0.2500
Ta  0.0000  0.0000  0.0000
Ta  0.7500  0.2500  0.5000
C  0.2500  0.7500  0.5000
C  0.5000  0.5000  0.0000

***

| no. | magnetic moment (μB per atom) |
| --- | --- |
| 1 | 0.0271 |
| 2 | 0.2921 |
| 3 | 0.0000 |
| 4 | 0.0000 |